NiMo2W | GGA-PBEsol | relaxed

Structure (CIF):
```
data_NiMo2W
_cell_length_a 3.214
_cell_length_b 4.234
_cell_length_c 8.359
_cell_angle_alpha 90.00
_cell_angle_beta 90.00
_cell_angle_gamma 90.00
_space_group_name_H-M_alt 'C m m 2'
_space_group_IT_number 35
loop_
_space_group_symop_operation_xyz
'x,y,z'
'-x,-y,z'
'-x,y,z'
'x,-y,z'
'x+1/2,y+1/2,z'
'-x+1/2,-y+1/2,z'
'-x+1/2,y+1/2,z'
'x+1/2,-y+1/2,z'
loop_
_atom_site_label
_atom_site_fract_x
_atom_site_fract_y
_atom_site_fract_z
Ni1 0.000 0.000 0.000
Mo1 0.000 0.000 0.501
Mo2 0.000 0.500 0.766
W1 0.000 0.500 0.233
```

For the total magnetic moment, the calculation gives 0.001 μB/f.u. The distance to the lowest polymorph of the same formula comes out at 5 meV/atom. As for the raw total energy: -10.819 eV/atom. The volume is 14.2 A^3/atom. The calculation puts the calculated formation energy at 0.056 eV per atom. The density of states at the Fermi level is 3.3 states/eV/f.u.

MgCoCu | GGA-PBEsol | relaxed

Structure (CIF):
```
data_MgCoCu
_cell_length_a 5.673
_cell_length_b 5.673
_cell_length_c 5.673
_cell_angle_alpha 90.00
_cell_angle_beta 90.00
_cell_angle_gamma 90.00
_space_group_name_H-M_alt 'F -4 3 m'
_space_group_IT_number 216
_space_group_name_Hall 'F -4 2 3'
loop_
_atom_site_label
_atom_site_fract_x
_atom_site_fract_y
_atom_site_fract_z
Mg1 0.000 0.000 0.000
Co1 0.250 0.250 0.750
Cu1 0.250 0.250 0.250
```

For the total magnetic moment, the calculation gives 0.836 μB/f.u. The distance to the lowest polymorph of the same formula comes out at 684 meV/atom. As for the raw total energy: -3.712 eV/atom. The volume is 15.2 A^3/atom. The calculation puts the calculated formation energy at 0.884 eV per atom. The density of states at the Fermi level is 6.0 states/eV/f.u.

CdTc3P | GGA-PBEsol | relaxed

Structure (CIF):
```
data_CdTc3P
_cell_length_a 4.349
_cell_length_b 4.349
_cell_length_c 4.349
_cell_angle_alpha 90.00
_cell_angle_beta 90.00
_cell_angle_gamma 90.00
_space_group_name_H-M_alt 'P m -3 m'
_space_group_IT_number 221
_space_group_name_Hall '-P 4 2 3'
loop_
_atom_site_label
_atom_site_fract_x
_atom_site_fract_y
_atom_site_fract_z
Cd1 0.000 0.000 0.000
Tc1 0.000 0.500 0.500
P1 0.500 0.500 0.500
```

For the total magnetic moment, the calculation gives 0.800 μB/f.u. As for the raw total energy: -7.690 eV/atom. The volume is 16.5 A^3/atom. The calculation puts the calculated formation energy at 0.468 eV per atom. The density of states at the Fermi level is 5.4 states/eV/f.u.

LiMgTa2 | GGA-PBEsol | relaxed

Structure (CIF):
```
data_LiMgTa2
_cell_length_a 3.778
_cell_length_b 3.778
_cell_length_c 9.763
_cell_angle_alpha 90.00
_cell_angle_beta 90.00
_cell_angle_gamma 90.00
_space_group_name_H-M_alt 'I 4/m m m'
_space_group_IT_number 139
_space_group_name_Hall '-I 4 2'
loop_
_atom_site_label
_atom_site_fract_x
_atom_site_fract_y
_atom_site_fract_z
Li1 0.000 0.000 0.000
Mg1 0.000 0.000 0.500
Ta1 0.000 0.500 0.250
```

For the total magnetic moment, the calculation gives 0.000 μB/f.u. As for the raw total energy: -6.737 eV/atom. The volume is 17.4 A^3/atom. The calculation puts the calculated formation energy at 0.459 eV per atom. The density of states at the Fermi level is 2.7 states/eV/f.u.

ScAlCl2 | GGA-PBEsol | relaxed

Structure (CIF):
```
data_ScAlCl2
_cell_length_a 3.174
_cell_length_b 5.707
_cell_length_c 9.375
_cell_angle_alpha 90.00
_cell_angle_beta 90.00
_cell_angle_gamma 90.00
_space_group_name_H-M_alt 'I m m m'
_space_group_IT_number 71
_space_group_name_Hall '-I 2 2'
loop_
_atom_site_label
_atom_site_fract_x
_atom_site_fract_y
_atom_site_fract_z
Sc1 0.000 0.000 0.000
Al1 0.000 0.000 0.500
Cl1 0.000 0.500 0.294
```

For the total magnetic moment, the calculation gives 0.000 μB/f.u. The distance to the lowest polymorph of the same formula comes out at 0 meV/atom. As for the raw total energy: -4.644 eV/atom. The volume is 21.2 A^3/atom. For the uncorrected formation energy, the calculation gives -0.965 eV/atom. The density of states at the Fermi level is 2.5 states/eV/f.u.

LaSiPd | GGA-PBEsol | relaxed

Structure (CIF):
```
data_LaSiPd
_cell_length_a 10.822
_cell_length_b 5.899
_cell_length_c 7.860
_cell_angle_alpha 90.00
_cell_angle_beta 92.45
_cell_angle_gamma 90.00
_space_group_name_H-M_alt 'P 1 21/c 1'
_space_group_IT_number 14
loop_
_space_group_symop_operation_xyz
'x,y,z'
'-x,-y,-z'
'-x,y+1/2,-z+1/2'
'x,-y+1/2,z+1/2'
loop_
_atom_site_label
_atom_site_fract_x
_atom_site_fract_y
_atom_site_fract_z
La1 0.131 0.131 0.328
La2 0.360 0.637 0.469
Si1 0.077 0.632 0.466
Si2 0.358 0.143 0.628
Pd1 0.170 0.608 0.181
Pd2 0.447 0.098 0.340
```

For the total magnetic moment, the calculation gives 0.000 μB/f.u. As for the raw total energy: -6.652 eV/atom. The volume is 20.9 A^3/atom. For the uncorrected formation energy, the calculation gives -0.968 eV/atom. The density of states at the Fermi level is 1.4 states/eV/f.u.

Li2CrRe | GGA-PBEsol | relaxed

Structure (CIF):
```
data_Li2CrRe
_cell_length_a 2.810
_cell_length_b 4.000
_cell_length_c 9.323
_cell_angle_alpha 90.00
_cell_angle_beta 90.00
_cell_angle_gamma 90.00
_space_group_name_H-M_alt 'I m m m'
_space_group_IT_number 71
_space_group_name_Hall '-I 2 2'
loop_
_atom_site_label
_atom_site_fract_x
_atom_site_fract_y
_atom_site_fract_z
Li1 0.000 0.000 0.246
Cr1 0.000 0.500 0.500
Re1 0.000 0.500 0.000
```

For the total magnetic moment, the calculation gives 0.399 μB/f.u. The distance to the lowest polymorph of the same formula comes out at 0 meV/atom. As for the raw total energy: -6.463 eV/atom. The volume is 13.1 A^3/atom. The calculation puts the calculated formation energy at 0.414 eV per atom. The density of states at the Fermi level is 3.3 states/eV/f.u.

In2GeSbN | GGA-PBEsol | relaxed

Structure (CIF):
```
data_In2GeSbN
_cell_length_a 5.318
_cell_length_b 5.318
_cell_length_c 5.351
_cell_angle_alpha 90.00
_cell_angle_beta 90.00
_cell_angle_gamma 90.00
_space_group_name_H-M_alt 'P 4/m m m'
_space_group_IT_number 123
_space_group_name_Hall '-P 4 2'
loop_
_atom_site_label
_atom_site_fract_x
_atom_site_fract_y
_atom_site_fract_z
In1 0.000 0.500 0.000
Ge1 0.000 0.000 0.000
Sb1 0.000 0.000 0.500
N1 0.500 0.500 0.500
```

For the total magnetic moment, the calculation gives 2.194 μB/f.u. As for the raw total energy: -3.345 eV/atom. The volume is 30.3 A^3/atom. For the uncorrected formation energy, the calculation gives 1.453 eV/atom. The density of states at the Fermi level is 3.5 states/eV/f.u.

RbNiWSe2 | GGA-PBEsol | relaxed

Structure (CIF):
```
data_RbNiWSe2
_cell_length_a 4.922
_cell_length_b 4.922
_cell_length_c 4.722
_cell_angle_alpha 90.00
_cell_angle_beta 90.00
_cell_angle_gamma 90.00
_space_group_name_H-M_alt 'P 4/m m m'
_space_group_IT_number 123
_space_group_name_Hall '-P 4 2'
loop_
_atom_site_label
_atom_site_fract_x
_atom_site_fract_y
_atom_site_fract_z
Rb1 0.000 0.000 0.000
Ni1 0.500 0.500 0.000
W1 0.500 0.500 0.500
Se1 0.000 0.500 0.500
```

For the total magnetic moment, the calculation gives 0.000 μB/f.u. As for the raw total energy: -5.677 eV/atom. The volume is 22.9 A^3/atom. For the uncorrected formation energy, the calculation gives 0.061 eV/atom. The density of states at the Fermi level is 1.5 states/eV/f.u.

Na2V3O7 | GGA-PBEsol | relaxed

Structure (CIF):
```
data_Na2V3O7
_cell_length_a 10.8855
_cell_length_b 10.8855
_cell_length_c 9.4672
_cell_angle_alpha 90.00
_cell_angle_beta 90.00
_cell_angle_gamma 120.00
_space_group_name_H-M_alt 'P -3'
_space_group_IT_number 147
loop_
_space_group_symop_operation_xyz
'x,y,z'
'-x,-y,-z'
'-y,x-y,z'
'y,-x+y,-z'
'-x+y,-x,z'
'x-y,x,-z'
loop_
_atom_site_label
_atom_site_fract_x
_atom_site_fract_y
_atom_site_fract_z
Na1 0.0000 0.0000 0.0000
Na2 0.0000 0.0000 0.5000
Na3 0.0324 0.5248 0.2471
Na4 0.3333 0.6667 0.5689
Na5 0.3333 0.6667 0.9275
V1 0.1060 0.3166 0.4021
V2 0.1340 0.8184 0.0995
V3 0.1451 0.3149 0.7507
O1 0.0229 0.2962 0.2111
O2 0.0547 0.7633 0.2890
O3 0.0608 0.2377 0.9335
O4 0.0838 0.8329 0.5657
O5 0.1473 0.4809 0.4365
O6 0.1719 0.6933 0.0661
O7 0.2060 0.4867 0.7530
```

For the total magnetic moment, the calculation gives 3.000 μB/f.u. As for the raw total energy: -7.958 eV/atom. The volume is 13.5 A^3/atom. For the uncorrected formation energy, the calculation gives -2.254 eV/atom.

CuNi3Sn2S8 | GGA-PBEsol | relaxed

Structure (CIF):
```
data_CuNi3Sn2S8
_cell_length_a 6.988
_cell_length_b 7.045
_cell_length_c 9.821
_cell_angle_alpha 90.00
_cell_angle_beta 90.00
_cell_angle_gamma 90.00
_space_group_name_H-M_alt 'I m m 2'
_space_group_IT_number 44
loop_
_space_group_symop_operation_xyz
'x,y,z'
'-x,-y,z'
'-x,y,z'
'x,-y,z'
'x+1/2,y+1/2,z+1/2'
'-x+1/2,-y+1/2,z+1/2'
'-x+1/2,y+1/2,z+1/2'
'x+1/2,-y+1/2,z+1/2'
loop_
_atom_site_label
_atom_site_fract_x
_atom_site_fract_y
_atom_site_fract_z
Cu1 0.000 0.000 0.000
Ni1 0.000 0.500 0.737
Ni2 0.250 0.000 0.616
Sn1 0.000 0.250 0.368
S1 0.000 0.229 0.625
S2 0.000 0.277 0.112
S3 0.238 0.500 0.884
S4 0.242 0.000 0.848
```

For the total magnetic moment, the calculation gives 0.000 μB/f.u. As for the raw total energy: -5.119 eV/atom. The volume is 17.3 A^3/atom. For the uncorrected formation energy, the calculation gives -0.377 eV/atom. The density of states at the Fermi level is 6.5 states/eV/f.u.

Fe2PW | GGA-PBEsol | relaxed

Structure (CIF):
```
data_Fe2PW
_cell_length_a 2.810
_cell_length_b 2.810
_cell_length_c 5.942
_cell_angle_alpha 90.00
_cell_angle_beta 90.00
_cell_angle_gamma 90.00
_space_group_name_H-M_alt 'P 4 m m'
_space_group_IT_number 99
loop_
_space_group_symop_operation_xyz
'x,y,z'
'-y,x,z'
'-x,-y,z'
'y,-x,z'
'-x,y,z'
'y,x,z'
'x,-y,z'
'-y,-x,z'
loop_
_atom_site_label
_atom_site_fract_x
_atom_site_fract_y
_atom_site_fract_z
Fe1 0.000 0.000 0.000
Fe2 0.500 0.500 0.258
P1 0.000 0.000 0.440
W1 0.500 0.500 0.731
```

For the total magnetic moment, the calculation gives 2.171 μB/f.u. As for the raw total energy: -9.459 eV/atom. The volume is 11.7 A^3/atom. The calculation puts the calculated formation energy at -0.078 eV per atom. The density of states at the Fermi level is 4.0 states/eV/f.u.